Record 1
Nd2CdBi: optimized geometry, PBE-GGA.

Cell lengths 5.5289, 5.5289, 5.5289 Å; angles 60.00, 60.00, 60.00 degrees
With the nearest neighbours (Å) after each atom.
Fractional coordinates of all 4 atoms:
1 Nd 0.2500 0.2500 0.2500  4 Cd 3.39, 4 Bi 3.39
2 Nd 0.7500 0.7500 0.7500  4 Cd 3.39, 4 Bi 3.39
3 Cd 0.5000 0.5000 0.5000  8 Nd 3.39
4 Bi 0.0000 0.0000 0.0000  8 Nd 3.39

Electronic total energy (eV per atom): -4.077
D(E_F) (states/eV/f.u.): 2.67
Calculated formation energy (meV per atom): -494
Space group: Fm-3m, No. 225



Record 2
YHfTl: optimized geometry, PBE-GGA.

Cell lengths 3.4677, 3.4677, 6.8679 Å; angles 104.62, 104.62, 90.00 degrees
With the nearest neighbours (Å) after each atom.
Fractional coordinates of all 3 atoms:
1 Hf 0.3272 0.3272 0.6545  4 Tl 3.15, 4 Y 3.30, 4 Hf 3.47
2 Y 0.9994 0.9994 0.9987  4 Hf 3.30, 4 Tl 3.32, 4 Y 3.47
3 Tl 0.6734 0.6734 0.3468  4 Hf 3.15, 4 Y 3.32, 4 Tl 3.47

Electronic total energy (eV per atom): -6.312
D(E_F) (states/eV/f.u.): 2.40
Calculated formation energy (meV per atom): -50
Space group: I4mm, No. 107



Record 3
Mn5C3: optimized geometry, PBE-GGA.

Cell lengths 5.1508, 5.1508, 2.9260 Å; angles 90.00, 90.00, 106.69 degrees
With the nearest neighbours (Å) after each atom.
Fractional coordinates of all 8 atoms:
1 Mn 0.0000 0.5000 0.0000  4 C 2.23
2 Mn 0.0000 0.0000 0.0000  4 C 2.02
3 Mn 0.7013 0.7013 0.5000  2 C 1.92
4 Mn 0.5000 0.0000 0.0000  4 C 2.23
5 Mn 0.2987 0.2987 0.5000  2 C 1.92
6 C 0.1679 0.8321 0.5000  6 Mn 2.02-2.23
7 C 0.8321 0.1679 0.5000  6 Mn 2.02-2.23
8 C 0.5000 0.5000 0.0000  4 Mn 1.92

Electronic total energy (eV per atom): -8.775
D(E_F) (states/eV/f.u.): 5.43
Calculated formation energy (meV per atom): 414
Space group: Cmmm, No. 65